Below is a geometry-optimized Ni3H12Pt5 structure, with properties calculated at the PBE-GGA level.

Lattice parameters (Å, degrees): 10.815 10.815 10.815 90.00 90.00 90.00
Space group Ia-3d (No. 230)
Unique sites:
1 Ni 0.000 0.250 0.125 (multiplicity 24)
2 H 0.005 0.063 0.659 (multiplicity 96)
3 Pt 0.000 0.000 0.000 (multiplicity 16)
4 Pt 0.000 0.250 0.375 (multiplicity 24)

Properties
Crystal system ... cubic
Energy ... -680.83 eV/cell

Below is a geometry-optimized Ni5H4Pt structure, with properties calculated at the PBE-GGA level.

Lattice parameters (Å, degrees): 8.442 2.607 8.337 90.00 118.91 90.00
Space group C2/m (No. 12)
Unique sites:
1 Ni 0.000 0.000 0.000 (multiplicity 2)
2 Ni 0.156 0.500 0.848 (multiplicity 4)
3 Ni 0.193 0.500 0.327 (multiplicity 4)
4 H 0.025 0.000 0.222 (multiplicity 4)
5 H 0.180 0.500 0.089 (multiplicity 4)
6 Pt 0.000 0.500 0.500 (multiplicity 2)

Properties
Crystal system ... monoclinic
Energy ... -96.68 eV/cell

Below is a geometry-optimized Ni6H4Pt structure, with properties calculated at the PBE-GGA level.

Lattice parameters (Å, degrees): 2.630 9.159 15.358 90.00 90.00 90.00
Space group Cmcm (No. 63)
Unique sites:
1 Ni 0.000 0.000 0.000 (multiplicity 4)
2 Ni 0.000 0.074 0.250 (multiplicity 4)
3 Ni 0.000 0.280 0.576 (multiplicity 8)
4 Ni 0.000 0.449 0.134 (multiplicity 8)
5 H 0.000 0.082 0.102 (multiplicity 8)
6 H 0.000 0.346 0.038 (multiplicity 8)
7 Pt 0.000 0.199 0.750 (multiplicity 4)

Properties
Crystal system ... orthorhombic
Energy ... -215.40 eV/cell

Below is a geometry-optimized Ni8H5Pt structure, with properties calculated at the PBE-GGA level.

Lattice parameters (Å, degrees): 13.430 2.636 6.566 90.00 103.30 90.00
Space group C2/m (No. 12)
Unique sites:
1 Ni 0.075 0.000 0.166 (multiplicity 4)
2 Ni 0.092 0.500 0.833 (multiplicity 4)
3 Ni 0.167 0.500 0.499 (multiplicity 4)
4 Ni 0.242 0.500 0.168 (multiplicity 4)
5 H 0.000 0.500 0.000 (multiplicity 2)
6 H 0.164 0.000 0.984 (multiplicity 4)
7 H 0.206 0.000 0.340 (multiplicity 4)
8 Pt 0.000 0.000 0.500 (multiplicity 2)

Properties
Crystal system ... monoclinic
Energy ... -139.32 eV/cell

no.,N(E_F) (states/eV/atom)
1,0.324
2,1.014
3,1.181
4,1.431